1.
## Ba2ErScSe5 (PBE)

Data for a relaxed structure of Ba2ErScSe5. Values from VASP.

Summary:
- formation energy without anion corrections (eV per formula unit) = -17.2
- total magnetization (μB/atom) = 0.000
- space-group type = No. 36

```
&SYSTEM
  ibrav = 0, nat = 18, ntyp = 4
/
ATOMIC_SPECIES
Ba 137.33 Ba.upf
Er 167.26 Er.upf
Sc 44.96 Sc.upf
Se 78.96 Se.upf
ATOMIC_POSITIONS crystal
Ba 0.856 0.713 0.807
Ba 0.107 0.213 0.686
Ba 0.144 0.287 0.307
Ba 0.893 0.787 0.186
Er 0.788 0.576 0.518
Er 0.212 0.424 0.018
Sc 0.528 0.057 0.952
Sc 0.472 0.943 0.452
Se 0.372 0.743 0.998
Se 0.678 0.356 0.885
Se 0.490 0.980 0.775
Se 0.284 0.567 0.652
Se 0.948 0.896 0.550
Se 0.628 0.257 0.498
Se 0.322 0.644 0.385
Se 0.510 0.020 0.275
Se 0.716 0.433 0.152
Se 0.052 0.104 0.050
CELL_PARAMETERS angstrom
4.365 0.000 0.000
-2.182 8.896 0.000
0.000 0.000 13.897
```



2.
## Sr2SbTe (PBE)

Data for a relaxed structure of Sr2SbTe. Values from VASP.

Summary:
- formation energy without anion corrections (eV per formula unit) = -4.1
- total magnetization (μB/atom) = 0.000
- distance to the lowest polymorph of the same formula (eV per atom) = 0.1920
- space-group type = No. 44

```
&SYSTEM
  ibrav = 0, nat = 4, ntyp = 3
/
ATOMIC_SPECIES
Sb 121.76 Sb.upf
Sr 87.62 Sr.upf
Te 127.60 Te.upf
ATOMIC_POSITIONS crystal
Sb 0.749 0.249 0.500
Sr 0.001 0.001 0.000
Sr 0.251 0.751 0.500
Te 0.499 0.499 0.000
CELL_PARAMETERS angstrom
7.055 -0.014 -0.011
3.932 5.858 0.011
-5.487 -2.934 3.326
```



3.
## BiCF3 (PBE)

Data for a relaxed structure of BiCF3. Values from VASP.

Summary:
- formation energy without anion corrections (eV per formula unit) = -1.9
- total magnetization (μB/atom) = 0.400
- distance to the lowest polymorph of the same formula (eV per atom) = 0.0000
- space-group type = No. 221

```
&SYSTEM
  ibrav = 0, nat = 5, ntyp = 3
/
ATOMIC_SPECIES
C 12.01 C.upf
Bi 208.98 Bi.upf
F 19.00 F.upf
ATOMIC_POSITIONS crystal
C 0.500 0.500 0.500
Bi 0.000 0.000 0.000
F 0.000 0.500 0.000
F 0.000 0.000 0.500
F 0.500 0.000 0.000
CELL_PARAMETERS angstrom
-4.081 1.929 -0.729
-1.041 -0.532 4.420
1.780 4.111 0.914
```



> What is the formula in the second record?

Sr2SbTe